{"formula": "Pr4Dy3S8", "functional": "PBE-GGA", "state": "optimized geometry", "raw_formation_energy_kj_per_mol_atoms": -174.0, "polymorph_energy_mev_per_atom": 208, "dos_ef_per_ev_cell": 6.62, "lattice_angstrom": [[3.9278, 2.2677, 7.4106], [-3.9278, 2.2677, 7.4106], [0.0000, -4.5355, 7.4106]], "species": ["Pr", "Pr", "Pr", "Pr", "Dy", "Dy", "Dy", "S", "S", "S", "S", "S", "S", "S", "S"], "fractional_positions": [[0.0000, 0.0000, 0.0000], [0.1486, 0.1486, 0.1486], [0.5000, 0.5000, 0.5000], [0.8514, 0.8514, 0.8514], [0.0000, 0.5000, 0.5000], [0.5000, 0.0000, 0.5000], [0.5000, 0.5000, 0.0000], [0.2493, 0.2493, 0.7362], [0.2493, 0.7362, 0.2493], [0.2638, 0.7507, 0.7507], [0.2709, 0.2709, 0.2709], [0.7291, 0.7291, 0.7291], [0.7362, 0.2493, 0.2493], [0.7507, 0.2638, 0.7507], [0.7507, 0.7507, 0.2638]]}